# 1
# K3In5Sn6

An optimized crystal structure of K3In5Sn6 (PBE-GGA, the Alexandria database).

Summary:
E in eV/cell: -85.45
Calculated density in g/cm³: 5.33
Volume in Å³/cell: 875
Spin magnetization in μB/f.u.: 0.0
Energy relative to the elements in eV per atom: -0.123

a = 5.1536 Å, b = 14.9365 Å, c = 11.3613 Å
α = 90.00°, β = 90.00°, γ = 90.00°
With the nearest neighbours (Å) after each atom.
Space group Pmmn (No. 59, origin choice 2)
One atom of each set of equivalent atoms:
K 0.2500 0.0540 0.2482 (multiplicity 4)  6 Sn 3.65-3.71, 7 In 3.67-3.90
K 0.2500 0.7500 0.2527 (multiplicity 2)  6 Sn 3.78-3.80, 6 In 3.88-3.89
In 0.2500 0.0857 0.6109 (multiplicity 4)  5 Sn 3.01-3.13
In 0.2500 0.5985 0.9745 (multiplicity 4)  5 Sn 3.08-3.44, 1 In 3.28
In 0.2500 0.7500 0.7661 (multiplicity 2)  2 In 3.28, 6 Sn 3.32-3.48
Sn 0.2500 0.0933 0.8760 (multiplicity 4)  4 In 3.01-3.09, 1 Sn 3.05
Sn 0.2500 0.2500 0.0480 (multiplicity 2)  2 Sn 3.05, 2 In 3.33
Sn 0.2500 0.2500 0.4403 (multiplicity 2)  4 In 3.13-3.48, 4 Sn 3.30
Sn 0.2500 0.6136 0.5353 (multiplicity 4)  4 In 3.09-3.32, 2 Sn 3.30

=====

# 2
# KInSn

An optimized crystal structure of KInSn (PBE-GGA, the Alexandria database).

Summary:
E in eV/cell: -32.78
Calculated density in g/cm³: 4.33
Volume in Å³/cell: 418
Spin magnetization in μB/f.u.: 0.0
Energy relative to the elements in eV per atom: -0.119

a = 4.5408 Å, b = 13.6330 Å, c = 6.7502 Å
α = 90.00°, β = 90.00°, γ = 90.00°
With the nearest neighbours (Å) after each atom.
Space group Cmcm (No. 63)
One atom of each set of equivalent atoms:
K 0.0000 0.1942 0.2500 (multiplicity 4)  5 In 3.64-3.94, 4 Sn 3.87
In 0.0000 0.0946 0.7500 (multiplicity 4)  4 Sn 3.11
Sn 0.0000 0.5000 0.0000 (multiplicity 4)  4 In 3.11, 2 Sn 3.38

=====

# 3
# KInSn

An optimized crystal structure of KInSn (PBE-GGA, the Alexandria database).

Summary:
E in eV/cell: -32.87
Calculated density in g/cm³: 4.16
Volume in Å³/cell: 435
Spin magnetization in μB/f.u.: 0.0
Energy relative to the elements in eV per atom: -0.127

a = 14.0886 Å, b = 4.4600 Å, c = 7.0382 Å
α = 90.00°, β = 100.54°, γ = 90.00°
With the nearest neighbours (Å) after each atom.
Space group Cm (No. 8)
One atom of each set of equivalent atoms:
K 0.0000 0.0000 0.0000 (multiplicity 2)  4 Sn 3.56-3.64, 3 In 3.74-3.97
K 0.0778 0.5000 0.5419 (multiplicity 2)  2 Sn 3.58-3.86, 3 In 3.69-3.71
In 0.2714 0.0000 0.7922 (multiplicity 2)  1 Sn 2.96, 2 In 3.20
In 0.3371 0.5000 0.5169 (multiplicity 2)  3 Sn 3.13-3.15, 2 In 3.20
Sn 0.2068 0.5000 0.1024 (multiplicity 2)  2 Sn 3.03, 3 In 3.15-3.36
Sn 0.3520 0.0000 0.2119 (multiplicity 2)  3 In 2.96-3.13, 2 Sn 3.03

=====

# 4
# KInSn

An optimized crystal structure of KInSn (PBE-GGA, the Alexandria database).

Summary:
E in eV/cell: -48.81
Calculated density in g/cm³: 3.84
Volume in Å³/cell: 708
Spin magnetization in μB/f.u.: 0.0
Energy relative to the elements in eV per atom: -0.099

a = 4.8429 Å, b = 4.8429 Å, c = 34.8609 Å
α = 90.00°, β = 90.00°, γ = 120.00°
With the nearest neighbours (Å) after each atom.
Space group R-3m (No. 166, hexagonal axes)
One atom of each set of equivalent atoms:
K 0.0000 0.0000 0.0754 (multiplicity 6)  4 Sn 3.69-3.87, 6 In 3.77-3.90
In 0.0000 0.0000 0.3306 (multiplicity 6)  3 In 2.80
Sn 0.0000 0.0000 0.1812 (multiplicity 6)  3 Sn 2.97

=====

# 5
# KIn3Sn

An optimized crystal structure of KIn3Sn (PBE-GGA, the Alexandria database).

Summary:
Distance to the lowest polymorph of the same formula in meV/atom: 0
E in eV/cell: -56.28
Calculated density in g/cm³: 5.23
Volume in Å³/cell: 638
Spin magnetization in μB/f.u.: 0.0
Energy relative to the elements in eV per atom: -0.151

a = 7.2016 Å, b = 12.3102 Å, c = 7.1943 Å
α = 90.00°, β = 90.00°, γ = 90.00°
With the nearest neighbours (Å) after each atom.
Space group Cmcm (No. 63)
One atom of each set of equivalent atoms:
K 0.0000 0.2486 0.2500 (multiplicity 4)  4 Sn 3.87-3.88, 12 In 3.87-4.00
In 0.0000 0.3675 0.7500 (multiplicity 4)  1 Sn 2.88, 4 In 3.02
In 0.2482 0.5000 0.0000 (multiplicity 8)  2 In 3.02, 2 Sn 3.03
Sn 0.0000 0.1331 0.7500 (multiplicity 4)  5 In 2.88-3.03

=====

# 6
# KIn4Sn

An optimized crystal structure of KIn4Sn (PBE-GGA, the Alexandria database).

Summary:
Distance to the lowest polymorph of the same formula in meV/atom: 73
E in eV/cell: -64.04
Calculated density in g/cm³: 5.68
Volume in Å³/cell: 722
Spin magnetization in μB/f.u.: 0.0
Energy relative to the elements in eV per atom: 0.007

a = 8.9705 Å, b = 8.9705 Å, c = 8.9705 Å
α = 90.00°, β = 90.00°, γ = 90.00°
With the nearest neighbours (Å) after each atom.
Space group F-43m (No. 216)
One atom of each set of equivalent atoms:
K 0.0000 0.0000 0.0000 (multiplicity 4)  12 In 3.72, 4 Sn 3.88
In 0.1247 0.1247 0.3753 (multiplicity 16)  6 In 3.16-3.18
Sn 0.2500 0.2500 0.7500 (multiplicity 4)  12 In 3.72, 4 K 3.88

=====

# 7
# KIn6Sn

An optimized crystal structure of KIn6Sn (PBE-GGA, the Alexandria database).

Summary:
E in eV/cell: -21.99
Calculated density in g/cm³: 5.59
Volume in Å³/cell: 252
Spin magnetization in μB/f.u.: 0.0
Energy relative to the elements in eV per atom: -0.058

a = 5.3559 Å, b = 5.3559 Å, c = 8.7729 Å
α = 90.00°, β = 90.00°, γ = 90.00°
With the nearest neighbours (Å) after each atom.
Space group P4/mmm (No. 123)
One atom of each set of equivalent atoms:
K 0.0000 0.0000 0.0000 (multiplicity 1)  16 In 3.88-4.05
In 0.0000 0.5000 0.3207 (multiplicity 4)  3 In 3.01-3.15, 2 Sn 3.11
In 0.5000 0.5000 0.1643 (multiplicity 2)  5 In 2.88-3.01
Sn 0.0000 0.0000 0.5000 (multiplicity 1)  8 In 3.11

=====

# 8
# KInSn

An optimized crystal structure of KInSn (PBE-GGA, the Alexandria database).

Summary:
E in eV/cell: -8.15
Calculated density in g/cm³: 4.97
Volume in Å³/cell: 91
Spin magnetization in μB/f.u.: 0.0
Energy relative to the elements in eV per atom: -0.102

a = 5.5250 Å, b = 5.5250 Å, c = 3.4474 Å
α = 90.00°, β = 90.00°, γ = 120.00°
With the nearest neighbours (Å) after each atom.
Space group P-6m2 (No. 187)
One atom of each set of equivalent atoms:
K 0.0000 0.0000 0.0000 (multiplicity 1)  2 K 3.45, 6 In 3.63, 6 Sn 3.63
In 0.3333 0.6667 0.5000 (multiplicity 1)  3 Sn 3.19, 2 In 3.45
Sn 0.6667 0.3333 0.5000 (multiplicity 1)  3 In 3.19, 2 Sn 3.45

=====

# 9
# KIn2Sn6

An optimized crystal structure of KIn2Sn6 (PBE-GGA, the Alexandria database).

Summary:
Distance to the lowest polymorph of the same formula in meV/atom: 19
E in eV/cell: -30.75
Calculated density in g/cm³: 5.93
Volume in Å³/cell: 275
Spin magnetization in μB/f.u.: 0.0
Energy relative to the elements in eV per atom: -0.017

a = 4.9668 Å, b = 4.9668 Å, c = 11.1298 Å
α = 90.00°, β = 90.00°, γ = 90.00°
With the nearest neighbours (Å) after each atom.
Space group P4/mmm (No. 123)
One atom of each set of equivalent atoms:
K 0.0000 0.0000 0.0000 (multiplicity 1)  8 In 3.81, 8 Sn 4.15
In 0.5000 0.5000 0.1333 (multiplicity 2)  1 In 2.97, 4 Sn 3.09
Sn 0.0000 0.0000 0.5000 (multiplicity 1)  12 Sn 3.34-3.51
Sn 0.0000 0.5000 0.2991 (multiplicity 4)  2 In 3.09, 4 Sn 3.34
Sn 0.5000 0.5000 0.5000 (multiplicity 1)  12 Sn 3.34-3.51

=====

# 10
# K5In4Sn2

An optimized crystal structure of K5In4Sn2 (PBE-GGA, the Alexandria database).

Summary:
E in eV/cell: -49.50
Calculated density in g/cm³: 3.75
Volume in Å³/cell: 790
Spin magnetization in μB/f.u.: 0.0
Energy relative to the elements in eV per atom: -0.028

a = 12.6617 Å, b = 6.7933 Å, c = 9.8019 Å
α = 90.00°, β = 110.45°, γ = 90.00°
With the nearest neighbours (Å) after each atom.
Space group C2/m (No. 12)
One atom of each set of equivalent atoms:
K 0.0000 0.0000 0.0000 (multiplicity 2)  6 In 3.72-3.86, 4 K 3.82, 2 Sn 3.90
K 0.0936 0.2556 0.3706 (multiplicity 8)  2 K 3.32-3.47, 1 Sn 3.69, 1 In 3.71
In 0.1189 0.5000 0.9947 (multiplicity 4)  1 Sn 2.88, 2 In 2.93-3.05
In 0.1900 0.5000 0.7402 (multiplicity 4)  1 In 2.93
Sn 0.1810 0.0000 0.7496 (multiplicity 4)  1 In 2.88

=====

# 11
# KIn4Sn

An optimized crystal structure of KIn4Sn (PBE-GGA, the Alexandria database).

Summary:
Distance to the lowest polymorph of the same formula in meV/atom: 9
E in eV/cell: -16.39
Calculated density in g/cm³: 5.55
Volume in Å³/cell: 185
Spin magnetization in μB/f.u.: 0.0
Energy relative to the elements in eV per atom: -0.057

a = 5.2762 Å, b = 5.2762 Å, c = 7.6548 Å
α = 90.00°, β = 90.00°, γ = 120.00°
With the nearest neighbours (Å) after each atom.
Space group P6/mmm (No. 191)
One atom of each set of equivalent atoms:
K 0.0000 0.0000 0.0000 (multiplicity 1)  12 In 3.77, 2 Sn 3.83
In 0.3333 0.6667 0.2893 (multiplicity 4)  4 In 3.05-3.23
Sn 0.0000 0.0000 0.5000 (multiplicity 1)  12 In 3.45, 2 K 3.83

=====

# 12
# KIn6Sn4

An optimized crystal structure of KIn6Sn4 (PBE-GGA, the Alexandria database).

Summary:
E in eV/cell: -33.74
Calculated density in g/cm³: 5.89
Volume in Å³/cell: 339
Spin magnetization in μB/f.u.: 0.0
Energy relative to the elements in eV per atom: -0.018

a = 8.6760 Å, b = 8.6760 Å, c = 5.1992 Å
α = 90.00°, β = 90.00°, γ = 120.00°
With the nearest neighbours (Å) after each atom.
Space group P-6m2 (No. 187)
One atom of each set of equivalent atoms:
K 0.0000 0.0000 0.0000 (multiplicity 1)  12 In 4.01-4.37, 6 Sn 4.05
In 0.2035 0.4070 0.5000 (multiplicity 3)  4 Sn 3.08-3.25, 2 In 3.38
In 0.5371 0.0742 0.0000 (multiplicity 3)  5 Sn 3.06-3.23, 2 In 3.37
Sn 0.3333 0.6667 0.0000 (multiplicity 1)  9 In 3.06-3.25
Sn 0.4136 0.2068 0.5000 (multiplicity 3)  6 In 3.08-3.23, 2 Sn 3.29